(1)
## Pm8SiGe2 (PBE)

Data for a relaxed Pm8SiGe2 crystal.

Cell: 9.927 9.927 6.888 Å, 101.26 101.26 28.58°
Fractional coordinates of all 11 atoms:
Pm 0.026 0.026 0.277
Pm 0.215 0.215 0.839
Pm 0.340 0.340 0.497
Pm 0.409 0.409 0.034
Pm 0.591 0.591 0.966
Pm 0.660 0.660 0.503
Pm 0.785 0.785 0.161
Pm 0.974 0.974 0.723
Si 0.500 0.500 0.500
Ge 0.184 0.184 0.261
Ge 0.816 0.816 0.739

Values from the calculation:
Formation energy without anion corrections = -399.4 meV per atom
Crystal system = monoclinic
Magnetization = 0.00 μB per formula unit

---

(2)
## Pm4SiGe2 (PBE)

Data for a relaxed Pm4SiGe2 crystal.

Cell: 14.255 4.462 7.482 Å, 90.00 119.97 90.00°
Fractional coordinates of all 14 atoms:
Pm 0.116 0.000 0.301
Pm 0.132 0.500 0.787
Pm 0.368 0.000 0.213
Pm 0.384 0.500 0.699
Pm 0.616 0.500 0.301
Pm 0.632 0.000 0.787
Pm 0.868 0.500 0.213
Pm 0.884 0.000 0.699
Si 0.000 0.500 0.000
Si 0.500 0.000 0.000
Ge 0.236 0.500 0.239
Ge 0.264 0.000 0.761
Ge 0.736 0.000 0.239
Ge 0.764 0.500 0.761

Values from the calculation:
Formation energy without anion corrections = -570.8 meV per atom
Crystal system = monoclinic
E above lowest polymorph = 0 meV/atom
Magnetization = 0.00 μB per formula unit

---

(3)
## PmSiGe (PBE)

Data for a relaxed PmSiGe crystal.

Cell: 16.148 4.082 4.082 Å, 90.00 104.33 90.00°
Fractional coordinates of all 12 atoms:
Pm 0.118 0.000 0.367
Pm 0.382 0.500 0.633
Pm 0.618 0.500 0.367
Pm 0.882 0.000 0.633
Si 0.039 0.500 0.788
Si 0.461 0.000 0.212
Si 0.539 0.000 0.788
Si 0.961 0.500 0.212
Ge 0.200 0.500 0.947
Ge 0.300 0.000 0.053
Ge 0.700 0.000 0.947
Ge 0.800 0.500 0.053

Values from the calculation:
Formation energy without anion corrections = -594.0 meV per atom
Crystal system = monoclinic
E above lowest polymorph = 0 meV/atom
Magnetization = 0.00 μB per formula unit

---

(4)
## Pm3Si3Ge4 (PBE)

Data for a relaxed Pm3Si3Ge4 crystal.

Cell: 8.303 8.303 8.303 Å, 109.47 109.47 109.47°
Fractional coordinates of all 20 atoms:
Pm 0.125 0.750 0.875
Pm 0.250 0.625 0.375
Pm 0.375 0.250 0.625
Pm 0.625 0.375 0.250
Pm 0.750 0.875 0.125
Pm 0.875 0.125 0.750
Si 0.125 0.875 0.250
Si 0.250 0.125 0.875
Si 0.375 0.625 0.750
Si 0.625 0.750 0.375
Si 0.750 0.375 0.625
Si 0.875 0.250 0.125
Ge 0.000 0.329 0.500
Ge 0.000 0.829 0.500
Ge 0.171 0.171 0.171
Ge 0.329 0.500 0.000
Ge 0.500 0.000 0.329
Ge 0.500 0.000 0.829
Ge 0.671 0.671 0.671
Ge 0.829 0.500 0.000

Values from the calculation:
Formation energy without anion corrections = -318.4 meV per atom
Crystal system = cubic
Magnetization = 0.00 μB per formula unit

---

(5)
## Pm7Si3Ge2 (PBE)

Data for a relaxed Pm7Si3Ge2 crystal.

Cell: 12.598 12.598 5.344 Å, 90.00 90.00 154.27°
Fractional coordinates of all 12 atoms:
Pm 0.000 0.000 0.000
Pm 0.106 0.894 0.500
Pm 0.229 0.771 0.000
Pm 0.382 0.618 0.000
Pm 0.618 0.382 0.000
Pm 0.771 0.229 0.000
Pm 0.894 0.106 0.500
Si 0.313 0.687 0.500
Si 0.500 0.500 0.500
Si 0.687 0.313 0.500
Ge 0.113 0.887 0.000
Ge 0.887 0.113 0.000

Values from the calculation:
Formation energy without anion corrections = -74.5 meV per atom
Crystal system = orthorhombic
Magnetization = 0.00 μB per formula unit

---

(6)
## Pm5Si2Ge5 (PBE)

Data for a relaxed Pm5Si2Ge5 crystal.

Cell: 7.751 7.751 11.663 Å, 127.78 127.78 31.06°
Fractional coordinates of all 12 atoms:
Pm 0.000 0.000 0.000
Pm 0.315 0.315 0.428
Pm 0.369 0.369 0.165
Pm 0.631 0.631 0.835
Pm 0.685 0.685 0.572
Si 0.381 0.381 0.739
Si 0.619 0.619 0.261
Ge 0.000 0.000 0.500
Ge 0.057 0.057 0.313
Ge 0.287 0.287 0.849
Ge 0.713 0.713 0.151
Ge 0.943 0.943 0.687

Values from the calculation:
Formation energy without anion corrections = -726.7 meV per atom
Crystal system = monoclinic
Magnetization = 0.00 μB per formula unit

---

(7)
## Pm5Si6Ge (PBE)

Data for a relaxed Pm5Si6Ge crystal.

Cell: 9.803 9.803 8.037 Å, 114.16 114.16 23.45°
Fractional coordinates of all 12 atoms:
Pm 0.000 0.000 0.000
Pm 0.342 0.342 0.842
Pm 0.356 0.356 0.356
Pm 0.644 0.644 0.644
Pm 0.658 0.658 0.158
Si 0.210 0.210 0.457
Si 0.210 0.210 0.962
Si 0.500 0.500 0.269
Si 0.500 0.500 0.731
Si 0.790 0.790 0.038
Si 0.790 0.790 0.543
Ge 0.000 0.000 0.500

Values from the calculation:
Formation energy without anion corrections = -451.5 meV per atom
Crystal system = monoclinic
Magnetization = 0.00 μB per formula unit

---

(8)
## Pm5SiGe (PBE)

Data for a relaxed Pm5SiGe crystal.

Cell: 6.168 6.168 10.854 Å, 92.44 92.44 78.88°
Fractional coordinates of all 14 atoms:
Pm 0.008 0.592 0.338
Pm 0.114 0.886 0.750
Pm 0.241 0.512 0.997
Pm 0.408 0.992 0.162
Pm 0.488 0.759 0.503
Pm 0.512 0.241 0.497
Pm 0.592 0.008 0.838
Pm 0.759 0.488 0.003
Pm 0.886 0.114 0.250
Pm 0.992 0.408 0.662
Si 0.000 0.000 0.000
Si 0.000 0.000 0.500
Ge 0.497 0.503 0.750
Ge 0.503 0.497 0.250

Values from the calculation:
Formation energy without anion corrections = -292.8 meV per atom
Crystal system = monoclinic
Magnetization = 0.00 μB per formula unit

---

(9)
## Pm7SiGe4 (PBE)

Data for a relaxed Pm7SiGe4 crystal.

Cell: 7.835 7.835 9.378 Å, 120.19 120.19 42.19°
Fractional coordinates of all 12 atoms:
Pm 0.000 0.000 0.000
Pm 0.177 0.177 0.576
Pm 0.317 0.317 0.060
Pm 0.448 0.448 0.655
Pm 0.552 0.552 0.345
Pm 0.683 0.683 0.940
Pm 0.823 0.823 0.424
Si 0.500 0.500 0.000
Ge 0.073 0.073 0.766
Ge 0.238 0.238 0.311
Ge 0.762 0.762 0.689
Ge 0.927 0.927 0.234

Values from the calculation:
Formation energy without anion corrections = -513.5 meV per atom
Crystal system = monoclinic
Magnetization = 0.00 μB per formula unit

---

(10)
## Pm10Si3Ge3 (PBE)

Data for a relaxed Pm10Si3Ge3 crystal.

Cell: 8.744 8.744 6.640 Å, 90.00 90.00 120.00°
Fractional coordinates of all 16 atoms:
Pm 0.000 0.246 0.000
Pm 0.000 0.755 0.500
Pm 0.245 0.245 0.500
Pm 0.246 0.000 0.000
Pm 0.333 0.667 0.253
Pm 0.333 0.667 0.747
Pm 0.667 0.333 0.253
Pm 0.667 0.333 0.747
Pm 0.754 0.754 0.000
Pm 0.755 0.000 0.500
Si 0.000 0.393 0.500
Si 0.393 0.000 0.500
Si 0.607 0.607 0.500
Ge 0.000 0.607 0.000
Ge 0.393 0.393 0.000
Ge 0.607 0.000 0.000

Values from the calculation:
Formation energy without anion corrections = -661.6 meV per atom
Crystal system = hexagonal
Magnetization = 0.00 μB per formula unit

---

(11)
## Pm6Si2Ge3 (PBE)

Data for a relaxed Pm6Si2Ge3 crystal.

Cell: 10.275 10.275 10.275 Å, 147.25 147.25 46.99°
Fractional coordinates of all 11 atoms:
Pm 0.093 0.593 0.500
Pm 0.214 0.214 0.000
Pm 0.407 0.907 0.500
Pm 0.593 0.093 0.500
Pm 0.786 0.786 0.000
Pm 0.907 0.407 0.500
Si 0.063 0.063 0.000
Si 0.937 0.937 0.000
Ge 0.363 0.363 0.000
Ge 0.500 0.500 0.000
Ge 0.637 0.637 0.000

Values from the calculation:
Formation energy without anion corrections = -324.6 meV per atom
Crystal system = tetragonal
Magnetization = 0.00 μB per formula unit

---

(12)
## Pm4Si2Ge5 (PBE)

Data for a relaxed Pm4Si2Ge5 crystal.

Cell: 6.990 4.289 8.167 Å, 90.00 91.69 90.00°
Fractional coordinates of all 11 atoms:
Pm 0.230 0.000 0.369
Pm 0.246 0.000 0.885
Pm 0.754 0.000 0.115
Pm 0.770 0.000 0.631
Si 0.088 0.500 0.126
Si 0.912 0.500 0.874
Ge 0.123 0.500 0.625
Ge 0.442 0.500 0.155
Ge 0.500 0.500 0.500
Ge 0.558 0.500 0.845
Ge 0.877 0.500 0.375

Values from the calculation:
Formation energy without anion corrections = -713.0 meV per atom
Crystal system = monoclinic
Magnetization = 0.00 μB per formula unit